[1]
Entry from the Alexandria database: a relaxed BaGe2F crystal (GGA-PBE).

The structure in extended XYZ format:
```
8
Lattice="-0.0076 -3.7937 -0.0735 3.6595 -0.0268 1.0023 -1.7233 -2.1541 13.4169" Properties=species:S:1:pos:R:3 pbc="T T T"
Ba 0.0475 -3.9290 6.9039
Ba 0.0000 0.0000 0.0000
F 1.8259 -1.9102 0.4644
F 1.8811 -2.0455 7.4418
Ge 1.9085 -3.0616 10.9126
Ge 0.0257 -1.0142 3.4704
Ge 0.0714 -4.9451 10.3737
Ge 1.8516 -2.9281 3.9347
```

Output
* total energy: -4.574 eV per atom
* formation energy without anion corrections: -5.27 eV per formula unit
* space-group type: I-42d, No. 122

=====

[2]
Entry from the Alexandria database: a relaxed BaGeF3 crystal (GGA-PBE).

The structure in extended XYZ format:
```
5
Lattice="-3.6710 3.1382 -1.5063 -1.9445 -0.0329 4.6702 2.8873 3.9679 1.2301" Properties=species:S:1:pos:R:3 pbc="T T T"
F -0.9723 -0.0165 2.3351
F 1.4436 1.9839 0.6151
F -1.8355 1.5691 -0.7532
Ba 0.0000 0.0000 0.0000
Ge -1.3641 3.5366 2.1970
```

Output
* total energy: -4.499 eV per atom
* formation energy without anion corrections: -10.34 eV per formula unit
* space-group type: Pm-3m, No. 221

=====

[3]
Entry from the Alexandria database: a relaxed Ba4Ge2F crystal (GGA-PBE).

The structure in extended XYZ format:
```
14
Lattice="7.8716 0.0000 0.1293 0.0000 7.9433 0.0000 -2.7464 0.0000 8.6844" Properties=species:S:1:pos:R:3 pbc="T T T"
F 1.4698 5.9575 1.6924
F 3.6553 1.9858 7.1213
Ge 5.5304 5.9575 0.5280
Ge -0.4052 1.9858 8.2857
Ge 4.2369 5.9575 4.9860
Ge 0.8882 1.9858 3.8277
Ba -0.6764 5.9575 3.2626
Ba 7.1303 1.9858 0.9879
Ba 1.9688 3.9107 6.5772
Ba -2.0052 5.9575 7.8258
Ba 1.9688 0.0609 6.5772
Ba 3.1564 7.8823 2.2365
Ba 3.1564 4.0326 2.2365
Ba 5.8015 1.9858 5.5511
```

Output
* total energy: -3.796 eV per atom
* formation energy without anion corrections: -7.77 eV per formula unit
* space-group type: P2_1/m, No. 11

=====

Question: formation energy without anion corrections of number 1 (BaGe2F)?
Answer: -5.27 eV per formula unit